Compound: LiHg2Pb
Source: Alexandria
Functional: PBE
Structure: optimized geometry

Cell: 5.9544 5.9544 5.9544 Å, 141.83 130.39 64.27°
With the nearest neighbours (Å) after each atom.
Fractional coordinates of all 4 atoms:
Pb1 0.7376 0.2376 0.5000  8 Hg 3.19-3.42, 4 Li 3.21-3.52
Hg1 0.2719 0.7719 0.5000  2 Li 2.89, 4 Pb 3.19
Hg2 0.0066 0.0066 0.0000  4 Li 3.18, 4 Hg 3.31-3.44, 4 Pb 3.34-3.42
Li1 0.4839 0.4839 0.0000  6 Hg 2.89-3.18, 2 Pb 3.21

Output
volume	24.52	A^3/atom
M_tot	0.000	μB/cell
formation enthalpy at 0 K	-0.1240	eV/atom
calculated density	10.42	g/cm3
N(E_F)	1.41	states/eV/cell
electronic total energy	-1.68	eV per atom
symmetry	Imm2